Material: YAgMo
Method: DFT, PBE
State: optimized geometry

Structure (POSCAR):
```
YAgMo
1.0
3.043 0.000 0.000
-1.521 2.635 0.000
0.000 0.000 7.597
Y Ag Mo
1 1 1
direct
0.000 0.000 0.000
0.667 0.333 0.355
0.333 0.667 0.666
```

formation energy: 169.6 kJ/mol of formula units
size of the total moment: 0.00 μB per cell

***

Material: TiNb3Al
Method: DFT, PBE
State: optimized geometry

Structure (POSCAR):
```
TiNb3Al
1.0
4.721 0.000 0.000
0.000 4.721 0.000
0.000 0.000 4.721
Ti Nb Al
1 3 1
direct
0.000 0.000 0.000
0.000 0.500 0.500
0.500 0.000 0.500
0.500 0.500 0.000
0.500 0.500 0.500
```

formation energy: 531.4 kJ/mol of formula units
size of the total moment: 0.00 μB per cell

***

Material: ReAs2PbO8
Method: DFT, PBE
State: optimized geometry

Structure (POSCAR):
```
ReAs2PbO8
1.0
2.506 1.447 7.677
-2.506 1.447 7.677
0.000 -2.894 7.677
Re As Pb O
1 2 1 8
direct
0.000 0.000 0.000
0.258 0.258 0.258
0.742 0.742 0.742
0.500 0.500 0.500
0.043 0.735 0.381
0.184 0.184 0.184
0.265 0.619 0.957
0.381 0.043 0.735
0.619 0.957 0.265
0.735 0.381 0.043
0.816 0.816 0.816
0.957 0.265 0.619
```

final energy: -6.577 eV per atom
size of the total moment: 3.00 μB per cell

***

Material: CrAuCl2
Method: DFT, PBE
State: optimized geometry

Structure (POSCAR):
```
CrAuCl2
1.0
3.195 0.000 0.000
0.000 3.195 0.000
0.000 0.000 8.038
Cr Au Cl
1 1 2
direct
0.000 0.000 0.000
0.500 0.500 0.218
0.000 0.000 0.427
0.500 0.500 0.828
```

final energy: -4.212 eV per atom
size of the total moment: 3.59 μB per cell

***

Material: Hf2ScCo2
Method: DFT, PBE
State: optimized geometry

Structure (POSCAR):
```
Hf2ScCo2
1.0
6.207 -2.454 0.000
6.207 2.454 0.000
-0.815 0.000 6.070
Hf Sc Co
4 2 4
direct
0.063 0.281 0.160
0.281 0.063 0.660
0.719 0.937 0.340
0.937 0.719 0.840
0.397 0.603 0.250
0.603 0.397 0.750
0.241 0.431 0.482
0.431 0.241 0.982
0.569 0.759 0.018
0.759 0.569 0.518
```

formation energy: -102.0 kJ/mol of formula units
size of the total moment: 0.00 μB per cell

***

Material: BSBrCl2
Method: DFT, PBE
State: optimized geometry

Structure (POSCAR):
```
BSBrCl2
1.0
5.207 0.000 0.000
0.000 5.207 0.000
0.000 0.000 4.912
B S Br Cl
1 1 1 2
direct
0.000 0.000 0.000
0.500 0.500 0.000
0.500 0.500 0.500
0.000 0.500 0.500
0.500 0.000 0.500
```

final energy: -1.853 eV per atom
size of the total moment: 0.01 μB per cell

***

Material: PrThAg2
Method: DFT, PBE
State: optimized geometry

Structure (POSCAR):
```
PrThAg2
1.0
3.678 0.000 0.000
0.000 3.678 0.000
0.000 0.000 7.855
Pr Th Ag
1 1 2
direct
0.000 0.000 0.000
0.000 0.000 0.500
0.500 0.500 0.250
0.500 0.500 0.750
```

formation energy: -49.7 kJ/mol of formula units
size of the total moment: 0.00 μB per cell

***

Material: KMgCd4
Method: DFT, PBE
State: optimized geometry

Structure (POSCAR):
```
KMgCd4
1.0
9.019 0.000 0.000
0.000 4.592 0.000
0.000 0.000 7.973
K Mg Cd
2 2 8
direct
0.250 0.000 0.122
0.750 0.000 0.878
0.250 0.000 0.710
0.750 0.000 0.290
0.000 0.000 0.500
0.044 0.500 0.800
0.250 0.500 0.448
0.456 0.500 0.800
0.500 0.000 0.500
0.544 0.500 0.200
0.750 0.500 0.552
0.956 0.500 0.200
```

formation energy: -5.2 kJ/mol of formula units
size of the total moment: 0.00 μB per cell

***

Material: ZnMoW2
Method: DFT, PBE
State: optimized geometry

Structure (POSCAR):
```
ZnMoW2
1.0
2.677 0.000 0.000
0.000 2.677 0.000
0.000 0.000 8.816
Zn Mo W
1 1 2
direct
0.000 0.000 0.000
0.000 0.000 0.500
0.500 0.500 0.238
0.500 0.500 0.762
```

formation energy: 132.8 kJ/mol of formula units
size of the total moment: 0.00 μB per cell

***

Material: CdCu2Pd
Method: DFT, PBE
State: optimized geometry

Structure (POSCAR):
```
CdCu2Pd
1.0
3.180 0.000 0.000
0.000 3.180 0.000
0.000 0.000 5.939
Cd Cu Pd
1 2 1
direct
0.000 0.000 0.000
0.500 0.500 0.270
0.500 0.500 0.730
0.000 0.000 0.500
```

formation energy: -22.1 kJ/mol of formula units
size of the total moment: 0.00 μB per cell